<one>
# Rb2Hg2Pb

An optimized crystal structure of Rb2Hg2Pb (PBE, the Alexandria database).

Unit cell a=8.0349 b=8.0349 c=8.0349 alpha=139.91 beta=139.91 gamma=58.00
Positions (direct):
1 Rb 0.2500 0.7500 0.5000
2 Rb 0.7500 0.2500 0.5000
3 Hg 0.0999 0.0999 0.0000
4 Hg 0.9001 0.9001 0.0000
5 Pb 0.5000 0.5000 0.0000

Output
N(E_F), states/eV per cell: 5.135
Symmetry: I4/mmm, No. 139
Crystal system: tetragonal

=====

<two>
# Rb2Hg2Pb

An optimized crystal structure of Rb2Hg2Pb (PBE, the Alexandria database).

Unit cell a=6.9331 b=6.9331 c=9.5132 alpha=101.22 beta=101.22 gamma=61.05
Positions (direct):
1 Rb 0.0211 0.2785 0.1503
2 Rb 0.2785 0.0211 0.6503
3 Rb 0.7215 0.9789 0.3497
4 Rb 0.9789 0.7215 0.8497
5 Hg 0.2363 0.4964 0.5045
6 Hg 0.4964 0.2363 0.0045
7 Hg 0.5036 0.7637 0.9955
8 Hg 0.7637 0.5036 0.4955
9 Pb 0.3650 0.6350 0.2500
10 Pb 0.6350 0.3650 0.7500

Output
N(E_F), states/eV per cell: 3.000
Symmetry: C2/c, No. 15
Crystal system: monoclinic

=====

<three>
# Rb2Hg2Pb

An optimized crystal structure of Rb2Hg2Pb (PBE, the Alexandria database).

Unit cell a=11.4869 b=11.4869 c=11.4869 alpha=157.98 beta=157.98 gamma=31.34
Positions (direct):
1 Rb 0.1086 0.1086 0.0000
2 Rb 0.8914 0.8914 0.0000
3 Hg 0.2500 0.7500 0.5000
4 Hg 0.7500 0.2500 0.5000
5 Pb 0.5000 0.5000 0.0000

Output
N(E_F), states/eV per cell: 3.113
Symmetry: I4/mmm, No. 139
Crystal system: tetragonal

=====

Stability, lowest: <one>